Compound: GaNi2SnO6
Source: Alexandria
Functional: GGA+U
Structure: relaxed

The value obtained for the total energy is -0.187 Ha/atom. Its density of states at the Fermi level is 8.60 states/eV/f.u. The calculation puts the total magnetization at 0.4627 μB per atom.

a = 4.922 Å, b = 5.277 Å, c = 5.277 Å
α = 90.00°, β = 90.00°, γ = 90.00°
Fractional positions:
Ga1 0.597 0.000 0.000
Ni1 0.915 0.500 0.000
Ni2 0.915 0.000 0.500
Sn1 0.586 0.500 0.500
O1 0.753 0.244 0.244
O2 0.753 0.244 0.756
O3 0.193 0.500 0.500
O4 0.227 0.000 0.000
O5 0.753 0.756 0.756
O6 0.753 0.756 0.244

Compound: GaNiSnO4
Source: Alexandria
Functional: GGA+U
Structure: relaxed

The value obtained for the total energy is -0.204 Ha/atom. Its density of states at the Fermi level is 0.89 states/eV/f.u. The calculation puts the total magnetization at 0.2807 μB per atom.

a = 6.220 Å, b = 6.208 Å, c = 6.208 Å
α = 60.92°, β = 59.94°, γ = 59.94°
Fractional positions:
Ga1 0.630 0.620 0.120
Ga2 0.370 0.380 0.880
Ni1 0.500 0.000 0.500
Ni2 0.000 0.000 0.500
Sn1 0.000 0.000 0.000
Sn2 0.000 0.500 0.500
O1 0.751 0.759 0.738
O2 0.249 0.762 0.741
O3 0.751 0.238 0.259
O4 0.249 0.241 0.262
O5 0.243 0.754 0.254
O6 0.748 0.754 0.254
O7 0.252 0.246 0.746
O8 0.757 0.246 0.746

Compound: SrGaNiO3
Source: Alexandria
Functional: GGA+U
Structure: relaxed

The value obtained for the total energy is -0.196 Ha/atom. The calculation puts the total magnetization at 0.1658 μB per atom.

a = 5.377 Å, b = 5.595 Å, c = 6.116 Å
α = 117.22°, β = 90.00°, γ = 90.00°
Fractional positions:
Sr1 0.750 0.256 0.512
Sr2 0.250 0.744 0.488
Ga1 0.250 0.058 0.116
Ga2 0.750 0.942 0.884
Ni1 0.250 0.468 0.936
Ni2 0.750 0.532 0.064
O1 0.250 0.230 0.460
O2 0.000 0.229 0.000
O3 0.500 0.771 0.000
O4 0.500 0.229 0.000
O5 0.000 0.771 0.000
O6 0.750 0.770 0.540

Compound: Sr2GaNi2O7
Source: Alexandria
Functional: GGA+U
Structure: relaxed

The value obtained for the total energy is -0.195 Ha/atom. Its density of states at the Fermi level is 5.04 states/eV/f.u. The calculation puts the total magnetization at 0.4085 μB per atom.

a = 13.262 Å, b = 13.262 Å, c = 5.030 Å
α = 79.14°, β = 79.14°, γ = 147.52°
Fractional positions:
Sr1 0.643 0.831 0.021
Sr2 0.359 0.171 0.992
Sr3 0.171 0.359 0.992
Sr4 0.831 0.643 0.021
Ga1 0.183 0.183 0.524
Ga2 0.818 0.818 0.388
Ni1 0.426 0.069 0.510
Ni2 0.069 0.426 0.510
Ni3 0.934 0.569 0.506
Ni4 0.569 0.934 0.506
O1 0.315 0.668 0.033
O2 0.147 0.147 0.180
O3 0.321 0.672 0.513
O4 0.779 0.643 0.558
O5 0.178 0.837 0.985
O6 0.172 0.836 0.501
O7 0.854 0.854 0.973
O8 0.668 0.315 0.033
O9 0.672 0.321 0.513
O10 0.359 0.224 0.478
O11 0.224 0.359 0.478
O12 0.643 0.779 0.558
O13 0.836 0.172 0.501
O14 0.837 0.178 0.985

Compound: SrGaNi2O
Source: Alexandria
Functional: GGA+U
Structure: relaxed

The value obtained for the total energy is -0.098 Ha/atom. Its density of states at the Fermi level is 1.56 states/eV/f.u. The calculation puts the total magnetization at 0.0000 μB per atom.

a = 4.129 Å, b = 4.796 Å, c = 4.129 Å
α = 90.00°, β = 90.00°, γ = 90.00°
Fractional positions:
Sr1 0.500 0.500 0.500
O1 0.000 0.000 0.000
Ga1 0.000 0.500 0.000
Ni1 0.000 0.000 0.500
Ni2 0.500 0.000 0.000

Compound: SrGaNiO2
Source: Alexandria
Functional: GGA+U
Structure: relaxed

The value obtained for the total energy is -0.121 Ha/atom. Its density of states at the Fermi level is 6.13 states/eV/f.u. The calculation puts the total magnetization at 0.2312 μB per atom.

a = 4.534 Å, b = 5.425 Å, c = 4.534 Å
α = 90.00°, β = 90.00°, γ = 90.00°
Fractional positions:
Sr1 0.000 0.000 0.000
O1 0.000 0.000 0.500
O2 0.500 0.000 0.000
Ga1 0.500 0.500 0.500
Ni1 0.000 0.500 0.000

Compound: Sr2YGaNi2O7
Source: Alexandria
Functional: GGA+U
Structure: relaxed

The value obtained for the total energy is -0.230 Ha/atom. The calculation puts the total magnetization at 0.3077 μB per atom.

a = 11.865 Å, b = 11.865 Å, c = 11.865 Å
α = 152.93°, β = 152.33°, γ = 39.09°
Fractional positions:
Y1 0.500 0.507 0.007
Y2 0.000 0.007 0.007
Sr1 0.830 0.857 0.986
Sr2 0.170 0.157 0.027
Sr3 0.370 0.357 0.027
Sr4 0.630 0.657 0.986
Ga1 0.176 0.788 0.463
Ga2 0.824 0.288 0.612
O1 0.659 0.212 0.999
O2 0.120 0.126 0.746
O3 0.714 0.712 0.553
O4 0.623 0.148 0.419
O5 0.848 0.289 0.999
O6 0.790 0.789 0.441
O7 0.880 0.626 0.006
O8 0.286 0.839 0.999
O9 0.341 0.339 0.553
O10 0.229 0.648 0.525
O11 0.377 0.796 0.525
O12 0.771 0.296 0.419
O13 0.152 0.152 0.441
O14 0.210 0.652 0.999
Ni1 0.081 0.584 0.500
Ni2 0.416 0.918 0.500
Ni3 0.584 0.084 0.503
Ni4 0.919 0.418 0.503

Compound: Tb2GaNiO6
Source: Alexandria
Functional: GGA+U
Structure: relaxed

The value obtained for the total energy is -0.252 Ha/atom. The calculation puts the total magnetization at 0.2955 μB per atom.

a = 5.288 Å, b = 5.577 Å, c = 7.694 Å
α = 90.00°, β = 89.25°, γ = 90.00°
Fractional positions:
Tb1 0.018 0.932 0.251
Tb2 0.518 0.568 0.751
Tb3 0.982 0.068 0.749
Tb4 0.482 0.432 0.249
Ga1 0.500 0.000 0.500
Ga2 0.000 0.500 0.000
Ni1 0.500 0.000 0.000
Ni2 0.000 0.500 0.500
O1 0.306 0.698 0.054
O2 0.806 0.802 0.554
O3 0.694 0.302 0.946
O4 0.194 0.198 0.446
O5 0.302 0.697 0.444
O6 0.802 0.803 0.944
O7 0.698 0.303 0.556
O8 0.198 0.197 0.056
O9 0.893 0.535 0.246
O10 0.393 0.965 0.746
O11 0.107 0.465 0.754
O12 0.607 0.035 0.254